{"formula": "KAl2Sb", "functional": "GGA-PBE", "state": "relaxed", "density_g_cm3": 2.99, "raw_formation_energy_ev_per_atom": 0.187, "cell": [[8.6601, 0.0000, 0.0000], [0.0000, 8.6601, 0.0000], [4.3301, 4.3301, 3.1782]], "species": ["Al", "Al", "Al", "Al", "Sb", "Sb", "K", "K"], "fractional_positions": [[0.6865, 0.1250, 0.2500], [0.0635, 0.6250, 0.2500], [0.3750, 0.3135, 0.7500], [0.8750, 0.9365, 0.7500], [0.0000, 0.0000, 0.0000], [0.7500, 0.2500, 0.5000], [0.5000, 0.5000, 0.0000], [0.2500, 0.7500, 0.5000]]}

{"formula": "KAlSb2", "functional": "GGA-PBE", "state": "relaxed", "density_g_cm3": 4.66, "raw_formation_energy_ev_per_atom": 0.090, "cell": [[-1.6003, -3.7347, -2.4333], [4.1892, -2.1570, 0.5556], [-1.5990, -2.0315, 4.1696]], "species": ["Sb", "Sb", "K", "Al"], "fractional_positions": [[0.0000, 0.0000, 0.0000], [0.5000, 0.5000, 0.0000], [0.0000, 0.5000, 0.5000], [0.5000, 0.0000, 0.5000]]}

{"formula": "KAlSb2", "functional": "GGA-PBE", "state": "relaxed", "density_g_cm3": 4.19, "raw_formation_energy_ev_per_atom": 0.039, "cell": [[-4.9077, -1.6191, 2.7264], [-2.6744, -3.8290, 3.5110], [1.2694, 3.3342, 5.7772]], "species": ["Al", "Sb", "Sb", "K"], "fractional_positions": [[0.4980, 0.4980, 0.5714], [0.9932, 0.9932, 0.9358], [0.7640, 0.7640, 0.7393], [0.2447, 0.2447, 0.2536]]}

{"formula": "KAl3Sb", "functional": "GGA-PBE", "state": "relaxed", "density_g_cm3": 2.31, "raw_formation_energy_ev_per_atom": 0.631, "cell": [[-3.3692, -4.3183, -1.0788], [1.7129, -0.0090, -5.3131], [4.1083, -3.5377, 1.3305]], "species": ["Al", "Al", "Al", "K", "Sb"], "fractional_positions": [[0.0000, 0.0000, 0.5000], [0.5000, 0.0000, 0.0000], [0.0000, 0.5000, 0.0000], [0.5000, 0.5000, 0.5000], [0.0000, 0.0000, 0.0000]]}